Here is crystalline Cs2MgAsO4 at its relaxed geometry from Alexandria. Energies are from PBE.

Output
As for the formation energy (no corrections): -1.5767 eV/atom.

Cell: 5.3498 13.0457 22.7669 Å, 90.00 90.00 90.00°
Last column: nearest neighbours and their distance in Å.
Space group Fddd (No. 70, origin choice 2)
Symmetry-distinct sites (fractional):
Cs 0.1250 0.1250 0.2995 x16  8 O 3.45-3.66
Mg 0.1250 0.1250 0.1250 x8  4 O 1.99
As 0.1250 0.1250 0.6250 x8  4 O 1.84
O 0.1043 0.2964 0.8350 x32  1 As 1.84, 1 Mg 1.99

---

Here is crystalline Mg2CdW at its relaxed geometry from Alexandria. Energies are from PBE.

Output
The calculated formation energy is 46.3 kJ per mole of atoms.

Cell: 2.9845 4.9857 10.1571 Å, 90.00 90.00 90.00°
Last column: nearest neighbours and their distance in Å.
Space group Imm2 (No. 44)
Symmetry-distinct sites (fractional):
Mg 0.0000 0.0000 0.0000 x2  4 W 2.91, 2 Cd 2.93, 4 Mg 2.98-3.06
Mg 0.0000 0.5000 0.2372 x2  2 W 2.88, 4 Cd 2.91, 4 Mg 2.98-3.06
Cd 0.0000 0.5000 0.7481 x2  6 Mg 2.91-2.93, 2 W 2.91, 2 Cd 2.98
W 0.0000 0.0000 0.4946 x2  6 Mg 2.88-2.91, 2 Cd 2.91, 2 W 2.98

---

Here is crystalline TiIn2W at its relaxed geometry from Alexandria. Energies are from PBE.

Output
The calculated formation energy is 43.2 kJ per mole of atoms.

Cell: 6.6761 6.6761 6.6761 Å, 90.00 90.00 90.00°
Last column: nearest neighbours and their distance in Å.
Space group Fm-3m (No. 225)
Symmetry-distinct sites (fractional):
Ti 0.0000 0.0000 0.0000 x4  8 In 2.89
In 0.2500 0.2500 0.2500 x8  4 W 2.89, 4 Ti 2.89
W 0.0000 0.0000 0.5000 x4  8 In 2.89

---

Here is crystalline MgCdGa2Pt at its relaxed geometry from Alexandria. Energies are from PBE.

Output
The calculated formation energy is -25.0 kJ per mole of atoms.

Cell: 4.8276 4.8276 5.1478 Å, 90.00 90.00 90.00°
Last column: nearest neighbours and their distance in Å.
Space group P4/mmm (No. 123)
Symmetry-distinct sites (fractional):
Mg 0.0000 0.0000 0.0000 x1  2 Pt 2.57
Cd 0.5000 0.5000 0.0000 x1  4 Mg 3.41, 8 Ga 3.53
Ga 0.0000 0.5000 0.5000 x2  2 Pt 2.41
Pt 0.0000 0.0000 0.5000 x1  4 Ga 2.41, 2 Mg 2.57

---

| no. | D(E_F) (states/eV/f.u.) |
| --- | --- |
| 1 | 2.44 |
| 2 | 2.41 |
| 3 | 6.39 |
| 4 | 1.75 |